{
  "formula": "AgIrSe2",
  "functional": "PBE-GGA",
  "state": "optimized geometry",
  "cell": [[4.723, 0.000, 0.000], [0.000, 4.722, 0.000], [0.000, 0.000, 3.138]],
  "species": ["Ag", "Ir", "Se", "Se"],
  "frac_coords": [[0.500, 0.000, 0.500], [0.000, 0.500, 0.500], [0.000, 0.000, 0.000], [0.500, 0.500, 0.000]],
  "energy_ev_per_cell": -17.0,
  "formation_energy_uncorrected_ev_per_atom": 0.429,
  "sg": "P4/mmm",
  "m_tot_mub_per_cell": 0.00
}

---

{
  "formula": "Ag3IrSe",
  "functional": "PBE-GGA",
  "state": "optimized geometry",
  "cell": [[-3.174, 3.258, 1.772], [-2.619, -0.317, -4.108], [-2.626, -3.622, 1.954]],
  "species": ["Ir", "Se", "Ag", "Ag", "Ag"],
  "frac_coords": [[0.500, 0.500, 0.500], [0.000, 0.000, 0.000], [0.000, 0.500, 0.000], [0.000, 0.000, 0.500], [0.500, 0.000, 0.000]],
  "energy_ev_per_cell": -15.1,
  "polymorph_energy_mev_per_atom": 0,
  "formation_energy_uncorrected_ev_per_atom": 1.150,
  "sg": "Pm-3m",
  "m_tot_mub_per_cell": 1.78
}

---

{
  "formula": "AgIrSe2",
  "functional": "PBE-GGA",
  "state": "optimized geometry",
  "cell": [[-0.523, 0.994, 6.050], [-4.089, -2.870, 3.594], [4.613, -0.630, -4.024]],
  "species": ["Ag", "Ir", "Se", "Se"],
  "frac_coords": [[0.750, 0.250, 0.500], [0.250, 0.750, 0.500], [0.094, 0.094, 0.000], [0.406, 0.406, 0.000]],
  "energy_ev_per_cell": -18.5,
  "formation_energy_uncorrected_ev_per_atom": 0.047,
  "sg": "Immm",
  "m_tot_mub_per_cell": 0.00
}

---

{
  "formula": "AgIrSe2",
  "functional": "PBE-GGA",
  "state": "optimized geometry",
  "cell": [[3.174, -0.004, 0.000], [0.005, 3.174, 0.000], [0.000, 0.000, 7.227]],
  "species": ["Ag", "Ir", "Se", "Se"],
  "frac_coords": [[0.500, 0.500, 0.250], [0.500, 0.500, 0.750], [0.000, 0.000, 0.963], [0.000, 0.000, 0.537]],
  "energy_ev_per_cell": -17.4,
  "formation_energy_uncorrected_ev_per_atom": 0.333,
  "sg": "P4/mmm",
  "m_tot_mub_per_cell": 0.00
}

---

{
  "formula": "AgIrSe2",
  "functional": "PBE-GGA",
  "state": "optimized geometry",
  "cell": [[5.692, -0.491, 5.352], [6.870, -2.751, 2.554], [7.411, 0.988, 2.322]],
  "species": ["Ir", "Se", "Se", "Ag"],
  "frac_coords": [[0.500, 0.500, 0.500], [0.888, 0.888, 0.888], [0.112, 0.112, 0.112], [0.000, 0.000, 0.000]],
  "energy_ev_per_cell": -19.4,
  "formation_energy_uncorrected_ev_per_atom": -0.187,
  "sg": "R-3m",
  "m_tot_mub_per_cell": 0.00
}

---

{
  "formula": "AgIrSe2",
  "functional": "PBE-GGA",
  "state": "optimized geometry",
  "cell": [[6.233, 0.000, 0.000], [0.000, 6.233, 0.000], [3.117, 3.117, 4.948]],
  "species": ["Ir", "Ir", "Se", "Se", "Se", "Se", "Ag", "Ag"],
  "frac_coords": [[0.000, 0.000, 0.000], [0.750, 0.250, 0.500], [0.661, 0.125, 0.250], [0.089, 0.625, 0.250], [0.375, 0.339, 0.750], [0.875, 0.911, 0.750], [0.500, 0.500, 0.000], [0.250, 0.750, 0.500]],
  "energy_ev_per_cell": -36.5,
  "formation_energy_uncorrected_ev_per_atom": 0.105,
  "sg": "I-42d",
  "m_tot_mub_per_cell": 0.00
}

---

{
  "formula": "AgIrSe2",
  "functional": "PBE-GGA",
  "state": "optimized geometry",
  "cell": [[-6.148, 5.570, 8.091], [-4.907, 7.865, 6.955], [-7.313, 6.844, 5.829]],
  "species": ["Ir", "Se", "Se", "Ag"],
  "frac_coords": [[0.000, 0.000, 0.000], [0.930, 0.930, 0.930], [0.070, 0.070, 0.070], [0.500, 0.500, 0.500]],
  "energy_ev_per_cell": -17.7,
  "formation_energy_uncorrected_ev_per_atom": 0.247,
  "sg": "R-3m",
  "m_tot_mub_per_cell": 0.00
}

---

{
  "formula": "AgIr2Se4",
  "functional": "PBE-GGA",
  "state": "optimized geometry",
  "cell": [[2.454, -7.153, -0.358], [5.466, 1.628, 4.979], [-7.238, 1.436, 1.723]],
  "species": ["Ag", "Ag", "Ir", "Ir", "Ir", "Ir", "Se", "Se", "Se", "Se", "Se", "Se", "Se", "Se"],
  "frac_coords": [[0.250, 0.750, 0.500], [0.000, 0.000, 0.000], [0.625, 0.375, 0.750], [0.625, 0.875, 0.250], [0.625, 0.375, 0.250], [0.125, 0.375, 0.750], [0.859, 0.142, 0.283], [0.391, 0.608, 0.217], [0.858, 0.576, 0.717], [0.858, 0.141, 0.717], [0.424, 0.142, 0.283], [0.392, 0.174, 0.783], [0.392, 0.609, 0.783], [0.826, 0.608, 0.217]],
  "energy_ev_per_cell": -72.6,
  "formation_energy_uncorrected_ev_per_atom": -0.257,
  "sg": "I4_1/amd",
  "m_tot_mub_per_cell": 0.00
}

---

{
  "formula": "AgIr2Se",
  "functional": "PBE-GGA",
  "state": "optimized geometry",
  "cell": [[-1.315, 0.373, 4.576], [-2.532, -2.042, 3.497], [3.448, -2.741, 2.249]],
  "species": ["Ag", "Ir", "Ir", "Se"],
  "frac_coords": [[0.250, 0.250, 0.250], [0.010, 0.010, 0.986], [0.490, 0.490, 0.514], [0.750, 0.750, 0.750]],
  "energy_ev_per_cell": -22.2,
  "formation_energy_uncorrected_ev_per_atom": 0.471,
  "sg": "C2/m",
  "m_tot_mub_per_cell": 0.00
}

---

{
  "formula": "AgIr2Se",
  "functional": "PBE-GGA",
  "state": "optimized geometry",
  "cell": [[-0.088, 4.027, -2.519], [-4.586, -1.133, 0.501], [-0.112, 1.550, 2.482]],
  "species": ["Ag", "Ir", "Ir", "Se"],
  "frac_coords": [[0.000, 0.500, 0.500], [0.000, 0.000, 0.000], [0.500, 0.500, 0.000], [0.500, 0.000, 0.500]],
  "energy_ev_per_cell": -21.5,
  "formation_energy_uncorrected_ev_per_atom": 0.639,
  "sg": "Cmmm",
  "m_tot_mub_per_cell": 0.00
}

---

{
  "formula": "AgIr2Se",
  "functional": "PBE-GGA",
  "state": "optimized geometry",
  "cell": [[-0.629, 0.931, -2.595], [-1.737, -1.770, 1.358], [-4.743, 7.640, 3.892]],
  "species": ["Ag", "Ir", "Ir", "Se"],
  "frac_coords": [[0.500, 0.500, 0.765], [0.000, 0.000, 0.016], [0.500, 0.500, 0.244], [0.000, 0.000, 0.474]],
  "energy_ev_per_cell": -22.2,
  "formation_energy_uncorrected_ev_per_atom": 0.466,
  "sg": "Cmm2",
  "m_tot_mub_per_cell": 0.00
}

---

{
  "formula": "AgIr2Se",
  "functional": "PBE-GGA",
  "state": "optimized geometry",
  "cell": [[-2.028, 2.226, -3.575], [-2.675, -3.469, -1.632], [0.101, 1.499, 4.427]],
  "species": ["Ag", "Ir", "Ir", "Se"],
  "frac_coords": [[0.750, 0.250, 0.500], [0.000, 0.000, 0.000], [0.250, 0.750, 0.500], [0.500, 0.500, 0.000]],
  "energy_ev_per_cell": -21.3,
  "formation_energy_uncorrected_ev_per_atom": 0.688,
  "sg": "I-4m2",
  "m_tot_mub_per_cell": 0.00
}